1.
DFT (PBE-GGA) results for crystalline TaCr2Re at its relaxed geometry.

POSCAR file:
```
TaCr2Re
1.0
3.079 0.000 0.000
0.000 4.369 0.000
0.000 0.000 4.270
Cr Re Ta
2 1 1
direct
0.000 0.000 0.000 Cr
0.500 0.500 0.000 Cr
0.500 0.000 0.500 Re
0.000 0.500 0.500 Ta
```

Calculated values
Final energy   -10.92 eV/atom
Symmetry   Pmmm, No. 47
N(E_F)   0.504 states/eV/atom


2.
DFT (PBE-GGA) results for crystalline Ta5CrRe4 at its relaxed geometry.

POSCAR file:
```
Ta5CrRe4
1.0
-0.103 -3.095 -0.753
3.170 -0.026 -0.330
1.572 -3.797 15.388
Ta Cr Re
5 1 4
direct
0.500 0.500 0.096 Ta
0.500 0.500 0.298 Ta
0.500 0.500 0.500 Ta
0.500 0.500 0.702 Ta
0.500 0.500 0.904 Ta
0.000 0.000 0.000 Cr
0.000 0.000 0.197 Re
0.000 0.000 0.399 Re
0.000 0.000 0.601 Re
0.000 0.000 0.803 Re
```

Calculated values
Final energy   -12.22 eV/atom
Symmetry   P4/mmm, No. 123
N(E_F)   0.460 states/eV/atom


3.
DFT (PBE-GGA) results for crystalline TaCr2Re at its relaxed geometry.

POSCAR file:
```
TaCr2Re
1.0
4.994 -0.003 0.001
-2.144 4.511 0.001
0.494 0.781 2.529
Cr Re Ta
2 1 1
direct
0.000 0.000 0.000 Cr
0.500 0.500 0.000 Cr
0.500 0.000 0.500 Re
0.000 0.500 0.500 Ta
```

Calculated values
Final energy   -10.87 eV/atom
Symmetry   C2/m, No. 12
N(E_F)   0.779 states/eV/atom


4.
DFT (PBE-GGA) results for crystalline TaCr2Re at its relaxed geometry.

POSCAR file:
```
TaCr2Re
1.0
0.000 3.037 3.037
3.037 0.000 3.037
3.037 3.037 0.000
Re Cr Ta
1 2 1
direct
0.500 0.500 0.500 Re
0.250 0.250 0.250 Cr
0.750 0.750 0.750 Cr
0.000 0.000 0.000 Ta
```

Calculated values
Final energy   -10.97 eV/atom
Symmetry   Fm-3m, No. 225
N(E_F)   0.420 states/eV/atom


5.
DFT (PBE-GGA) results for crystalline Ta6CrRe at its relaxed geometry.

POSCAR file:
```
Ta6CrRe
1.0
-2.530 2.242 3.013
-1.454 -3.935 1.706
3.078 -0.868 6.633
Ta Cr Re
6 1 1
direct
0.748 0.748 0.504 Ta
0.617 0.117 0.765 Ta
0.117 0.617 0.765 Ta
0.383 0.883 0.235 Ta
0.252 0.252 0.496 Ta
0.883 0.383 0.235 Ta
0.500 0.500 0.000 Cr
0.000 0.000 0.000 Re
```

Calculated values
Final energy   -11.77 eV/atom
Symmetry   I4/mmm, No. 139
N(E_F)   0.956 states/eV/atom


6.
DFT (PBE-GGA) results for crystalline TaCr4Re at its relaxed geometry.

POSCAR file:
```
TaCr4Re
1.0
-0.183 3.052 3.737
-4.178 2.103 1.197
-2.275 -1.288 4.059
Ta Cr Re
1 4 1
direct
0.000 0.000 0.000 Ta
0.876 0.375 0.375 Cr
0.375 0.375 0.876 Cr
0.375 0.876 0.375 Cr
0.375 0.375 0.375 Cr
0.750 0.750 0.750 Re
```

Calculated values
Final energy   -10.50 eV/atom
Symmetry   F-43m, No. 216
N(E_F)   1.869 states/eV/atom


7.
DFT (PBE-GGA) results for crystalline Ta4CrRe2 at its relaxed geometry.

POSCAR file:
```
Ta4CrRe2
1.0
5.124 -0.014 -1.812
-2.558 4.440 -1.811
-0.008 0.014 5.434
Cr Re Ta
1 2 4
direct
0.000 0.000 0.000 Cr
0.500 0.500 0.000 Re
0.500 0.000 0.500 Re
0.500 0.000 0.000 Ta
0.500 0.500 0.500 Ta
0.000 0.000 0.500 Ta
0.000 0.500 0.000 Ta
```

Calculated values
Final energy   -11.67 eV/atom
Symmetry   I4/mmm, No. 139
N(E_F)   0.943 states/eV/atom


8.
DFT (PBE-GGA) results for crystalline TaCr2Re at its relaxed geometry.

POSCAR file:
```
TaCr2Re
1.0
4.276 0.000 0.000
0.000 2.688 0.002
0.000 0.901 4.946
Cr Re Ta
2 1 1
direct
0.000 0.003 0.009 Cr
0.500 0.246 0.248 Cr
0.000 0.500 0.486 Re
0.500 0.752 0.757 Ta
```

Calculated values
Final energy   -10.88 eV/atom
Symmetry   Pm, No. 6
N(E_F)   0.754 states/eV/atom


| no. | formation enthalpy at 0 K (eV per atom) |
| --- | --- |
| 1 | -0.030 |
| 2 | -0.350 |
| 3 | 0.016 |
| 4 | -0.084 |
| 5 | -0.123 |
| 6 | -0.031 |
| 7 | 0.030 |
| 8 | 0.008 |